Model one:
Compound: Al2CrCl
Source: the Alexandria database
Functional: meta-GGA SCAN
Structure: PBEsol geometry

a = 3.024 Å, b = 4.882 Å, c = 5.298 Å
α = 117.43°, β = 106.58°, γ = 90.00°
Each line ends with the local moment (μB).
Fractional positions:
Al1 0.746 0.746 0.493  -0.05
Cr1 0.000 0.500 0.000  3.52
Cl1 0.500 0.000 0.000  0.04
Al2 0.254 0.254 0.507  -0.05

Crystal system: orthorhombic
N(E_F), states/eV/f.u.: 2.045

---

Model two:
Compound: Al2CrCl
Source: the Alexandria database
Functional: meta-GGA SCAN
Structure: PBEsol geometry

a = 2.851 Å, b = 2.851 Å, c = 8.203 Å
α = 90.00°, β = 90.00°, γ = 90.00°
Each line ends with the local moment (μB).
Fractional positions:
Al1 0.500 0.500 0.212  -0.02
Cr1 0.500 0.500 0.750  2.90
Al2 0.000 0.000 0.962  -0.06
Cl1 0.000 0.000 0.576  0.04

Crystal system: tetragonal
N(E_F), states/eV/f.u.: 3.143

---

According to the calculations, the structures order from most to least stable as model two, model one.

---

Model one:
Compound: Al2FeCl
Source: the Alexandria database
Functional: meta-GGA SCAN
Structure: PBEsol geometry

a = 2.910 Å, b = 2.910 Å, c = 7.405 Å
α = 90.00°, β = 90.00°, γ = 90.00°
Each line ends with the local moment (μB).
Fractional positions:
Al1 0.000 0.000 0.964  -0.06
Fe1 0.500 0.500 0.757  2.80
Cl1 0.000 0.000 0.556  0.09
Al2 0.500 0.500 0.223  -0.03

Crystal system: tetragonal
N(E_F), states/eV/f.u.: 1.690

---

Model two:
Compound: Al2FeCl
Source: the Alexandria database
Functional: meta-GGA SCAN
Structure: PBEsol geometry

a = 3.598 Å, b = 3.598 Å, c = 5.826 Å
α = 107.98°, β = 107.98°, γ = 90.00°
Each line ends with the local moment (μB).
Fractional positions:
Fe1 0.250 0.750 0.500  2.86
Al1 0.750 0.250 0.500  -0.06
Cl1 0.500 0.500 0.000  0.02
Al2 0.000 0.000 0.000  0.04

Crystal system: tetragonal
N(E_F), states/eV/f.u.: 1.480

---

Model three:
Compound: Al2FeCl
Source: the Alexandria database
Functional: meta-GGA SCAN
Structure: PBEsol geometry

a = 2.920 Å, b = 2.920 Å, c = 9.438 Å
α = 81.10°, β = 81.10°, γ = 60.00°
Each line ends with the local moment (μB).
Fractional positions:
Cl1 0.527 0.527 0.420  0.20
Al1 0.987 0.987 0.040  -0.04
Al2 0.737 0.737 0.790  -0.01
Fe1 0.250 0.250 0.250  3.01

Crystal system: trigonal
N(E_F), states/eV/f.u.: 1.300

---

According to the calculations, the structures order from most to least stable as model three, model one, model two.

---

Model one:
Compound: AlFe2Cl
Source: the Alexandria database
Functional: meta-GGA SCAN
Structure: PBEsol geometry

a = 2.785 Å, b = 4.799 Å, c = 4.799 Å
α = 114.65°, β = 100.99°, γ = 100.99°
Each line ends with the local moment (μB).
Fractional positions:
Al1 0.500 0.000 0.000  -0.04
Fe1 0.000 0.000 0.500  2.82
Cl1 0.500 0.500 0.500  0.13
Fe2 0.000 0.500 0.000  2.82

Crystal system: monoclinic
N(E_F), states/eV/f.u.: 1.251

---

Model two:
Compound: AlFe2Cl
Source: the Alexandria database
Functional: meta-GGA SCAN
Structure: PBEsol geometry

a = 2.865 Å, b = 4.454 Å, c = 5.832 Å
α = 86.35°, β = 75.78°, γ = 71.24°
Each line ends with the local moment (μB).
Fractional positions:
Cl1 0.500 0.000 0.000  0.04
Fe1 0.196 0.956 0.653  2.58
Fe2 0.804 0.044 0.347  2.58
Al1 0.000 0.500 0.500  -0.09

Crystal system: monoclinic
N(E_F), states/eV/f.u.: 1.622

---

According to the calculations, the structures order from most to least stable as model two, model one.

---

Model one:
Compound: Al2HgCl
Source: the Alexandria database
Functional: meta-GGA SCAN
Structure: PBEsol geometry

a = 4.824 Å, b = 4.824 Å, c = 4.824 Å
α = 60.00°, β = 60.00°, γ = 60.00°
Fractional positions:
Hg1 0.500 0.500 0.500
Al1 0.750 0.750 0.750
Cl1 0.000 0.000 0.000
Al2 0.250 0.250 0.250

Crystal system: cubic
N(E_F), states/eV/f.u.: 2.685

---

Model two:
Compound: Al2HgCl
Source: the Alexandria database
Functional: meta-GGA SCAN
Structure: PBEsol geometry

a = 4.919 Å, b = 4.919 Å, c = 4.919 Å
α = 60.00°, β = 60.00°, γ = 60.00°
Fractional positions:
Cl1 0.500 0.500 0.500
Al1 0.750 0.750 0.750
Hg1 0.250 0.250 0.250
Al2 0.000 0.000 0.000

Crystal system: cubic
N(E_F), states/eV/f.u.: 3.380

---

Model three:
Compound: Al2HgCl
Source: the Alexandria database
Functional: meta-GGA SCAN
Structure: PBEsol geometry

a = 5.850 Å, b = 5.850 Å, c = 7.522 Å
α = 112.89°, β = 112.89°, γ = 90.00°
Fractional positions:
Hg1 0.000 0.000 0.000
Cl1 0.750 0.250 0.500
Hg2 0.250 0.750 0.500
Al1 0.888 0.375 0.250
Al2 0.125 0.112 0.750
Cl2 0.500 0.500 0.000
Al3 0.362 0.875 0.250
Al4 0.625 0.638 0.750

Crystal system: tetragonal
N(E_F), states/eV/f.u.: 2.029

---

According to the calculations, the structures order from most to least stable as model three, model one, model two.

---

Model one:
Compound: Al2HgCl
Source: the Alexandria database
Functional: meta-GGA SCAN
Structure: PBEsol geometry

a = 2.936 Å, b = 4.553 Å, c = 6.674 Å
α = 109.94°, β = 102.71°, γ = 90.00°
Fractional positions:
Cl1 0.507 0.507 0.013
Al1 0.001 0.001 0.001
Al2 0.698 0.198 0.396
Hg1 0.295 0.795 0.589

Crystal system: orthorhombic
N(E_F), states/eV/f.u.: 1.273

---

Model two:
Compound: Al2HgCl
Source: the Alexandria database
Functional: meta-GGA SCAN
Structure: PBEsol geometry

a = 3.179 Å, b = 3.179 Å, c = 9.150 Å
α = 80.00°, β = 80.00°, γ = 60.00°
Fractional positions:
Al1 0.755 0.755 0.735
Al2 0.245 0.245 0.265
Hg1 0.000 0.000 0.000
Cl1 0.500 0.500 0.500

Crystal system: trigonal
N(E_F), states/eV/f.u.: 1.099

---

According to the calculations, the structures order from most to least stable as model one, model two.

---

Model one:
Compound: AlHg2Cl
Source: the Alexandria database
Functional: meta-GGA SCAN
Structure: PBEsol geometry

a = 6.614 Å, b = 6.614 Å, c = 7.245 Å
α = 117.16°, β = 117.16°, γ = 90.00°
Fractional positions:
Al1 0.750 0.250 0.500
Hg1 0.843 0.375 0.250
Al2 0.500 0.500 0.000
Cl1 0.000 0.000 0.000
Hg2 0.407 0.875 0.250
Cl2 0.250 0.750 0.500
Hg3 0.625 0.593 0.750
Hg4 0.125 0.157 0.750

Crystal system: tetragonal
N(E_F), states/eV/f.u.: 0.177

---

Model two:
Compound: AlHg2Cl
Source: the Alexandria database
Functional: meta-GGA SCAN
Structure: PBEsol geometry

a = 3.157 Å, b = 3.157 Å, c = 9.276 Å
α = 90.00°, β = 90.00°, γ = 90.00°
Fractional positions:
Hg1 0.000 0.000 0.013
Hg2 0.500 0.500 0.286
Al1 0.000 0.000 0.519
Cl1 0.500 0.500 0.682

Crystal system: tetragonal
N(E_F), states/eV/f.u.: 0.718

---

Model three:
Compound: AlHg2Cl
Source: the Alexandria database
Functional: meta-GGA SCAN
Structure: PBEsol geometry

a = 3.270 Å, b = 5.028 Å, c = 6.047 Å
α = 111.92°, β = 90.00°, γ = 90.00°
Fractional positions:
Al1 0.000 0.995 0.582
Cl1 0.500 0.363 0.649
Hg1 0.000 0.030 0.039
Hg2 0.500 0.612 0.230

Crystal system: monoclinic
N(E_F), states/eV/f.u.: 0.862

---

Model four:
Compound: AlHg2Cl
Source: the Alexandria database
Functional: meta-GGA SCAN
Structure: PBEsol geometry

a = 5.063 Å, b = 5.063 Å, c = 5.063 Å
α = 60.00°, β = 60.00°, γ = 60.00°
Fractional positions:
Cl1 0.250 0.250 0.250
Hg1 0.750 0.750 0.750
Hg2 0.000 0.000 0.000
Al1 0.500 0.500 0.500

Crystal system: cubic
N(E_F), states/eV/f.u.: 0.311

---

According to the calculations, the structures order from most to least stable as model three, model two, model one, model four.